The following is a DFT calculation (GGA+U) of a relaxed Pa2VO8 crystal.

Cell lengths 6.449, 6.449, 4.999 Å; angles 102.09, 102.09, 122.87 degrees
Atoms (fractional coordinates):
Pa  0.175  0.825  0.000
Pa  0.825  0.175  0.000
V  0.500  0.500  0.500
O  0.088  0.407  0.843
O  0.173  0.173  0.263
O  0.344  0.656  0.500
O  0.407  0.088  0.843
O  0.593  0.912  0.157
O  0.656  0.344  0.500
O  0.827  0.827  0.737
O  0.912  0.593  0.157

Output
VASP energy = -8.35 eV per atom
symmetry = C2/m, No. 12
total magnetic moment = 0.691 μB per formula unit
density = 6782 kg/m3